# 1
# CsBaLi2In (PBE, optimized geometry)
# final energy: -1.655 eV/atom
# calculated volume: 43.599 Å³ per atom
# crystal system: tetragonal
data_CsBaLi2In
_chemical_formula_sum 'Cs1 Ba1 Li2 In1'
_space_group_name_H-M_alt 'P 4/m m m'
_space_group_IT_number 123
_space_group_name_Hall '-P 4 2'
_cell_length_a 5.720
_cell_length_b 5.720
_cell_length_c 6.664
_cell_angle_alpha 90.00
_cell_angle_beta 90.00
_cell_angle_gamma 90.00
loop_
_atom_site_label
_atom_site_type_symbol
_atom_site_fract_x
_atom_site_fract_y
_atom_site_fract_z
Cs1 Cs 0.000 0.000 0.000
Ba1 Ba 0.500 0.500 0.000
Li1 Li 0.000 0.500 0.500
In1 In 0.000 0.000 0.500

=====

# 2
# KNiAu (PBE, optimized geometry)
# final energy: -3.199 eV/atom
# calculated volume: 25.936 Å³ per atom
# crystal system: hexagonal
data_KNiAu
_chemical_formula_sum 'K1 Ni1 Au1'
_space_group_name_H-M_alt 'P -6 m 2'
_space_group_IT_number 187
_space_group_name_Hall 'P -6 2'
_cell_length_a 4.2355
_cell_length_b 4.2355
_cell_length_c 5.0082
_cell_angle_alpha 90.00
_cell_angle_beta 90.00
_cell_angle_gamma 120.00
loop_
_atom_site_label
_atom_site_type_symbol
_atom_site_fract_x
_atom_site_fract_y
_atom_site_fract_z
K1 K 0.0000 0.0000 0.0000
Ni1 Ni 0.6667 0.3333 0.5000
Au1 Au 0.3333 0.6667 0.5000

=====

# 3
# GaFePdN2 (PBE, optimized geometry)
# final energy: -5.121 eV/atom
# calculated volume: 14.951 Å³ per atom
# energy relative to the elements, uncorrected: 1546 meV per atom
# crystal system: tetragonal
data_GaFePdN2
_chemical_formula_sum 'Ga1 Fe1 Pd1 N2'
_space_group_name_H-M_alt 'P 4/m m m'
_space_group_IT_number 123
_space_group_name_Hall '-P 4 2'
_cell_length_a 3.847
_cell_length_b 3.847
_cell_length_c 5.052
_cell_angle_alpha 90.00
_cell_angle_beta 90.00
_cell_angle_gamma 90.00
loop_
_atom_site_label
_atom_site_type_symbol
_atom_site_fract_x
_atom_site_fract_y
_atom_site_fract_z
Ga1 Ga 0.000 0.000 0.000
Fe1 Fe 0.500 0.500 0.000
Pd1 Pd 0.500 0.500 0.500
N1 N 0.000 0.500 0.500